# LaCo2CO

LaCo2CO after structural relaxation (PBE with a Hubbard U, Alexandria).

Calculated values
Raw total energy in Ry/atom: -0.3065
ρ in Mg/m³: 3.491
D(E_F) in states/eV per cell: 2.7

Structure (CIF):
```
data_LaCo2CO
_chemical_formula_sum 'La1 Co2 C1 O1'
_cell_length_a 5.6702
_cell_length_b 5.6702
_cell_length_c 4.2130
_cell_angle_alpha 90.00
_cell_angle_beta 90.00
_cell_angle_gamma 90.00
_symmetry_space_group_name_H-M 'P 1'
_symmetry_Int_Tables_number 1
_symmetry_space_group_name_Hall 'P 1'
loop_
_atom_site_label
_atom_site_type_symbol
_atom_site_fract_x
_atom_site_fract_y
_atom_site_fract_z
La1 La 0.0000 0.0000 0.0000
Co1 Co 0.0000 0.5000 0.0000
Co2 Co 0.5000 0.0000 0.0000
C1 C 0.5000 0.5000 0.5000
O1 O 0.0000 0.0000 0.5000
```